NaRu2Br after structural relaxation. Source: the Alexandria database, functional GGA-PBE.

Structure (POSCAR):
```
NaRu2Br
1.0
0.000 3.154 3.154
3.154 0.000 3.154
3.154 3.154 0.000
Ru Br Na
2 1 1
direct
0.250 0.250 0.250 Ru
0.750 0.750 0.750 Ru
0.500 0.500 0.500 Br
0.000 0.000 0.000 Na
```

Computed properties:
The value obtained for the excess energy over the best structure of this formula in the dataset is 105 meV/atom. As for the density: 8069 kg/m³. Its formation energy without anion corrections is 113.1 kJ/mol of atoms. For the size of the total moment, the calculation gives 0.00 Bohr magnetons per cell.